Record 1
Entry from Alexandria via LeMat-Bulk: HfGe2Cl after structural relaxation (PBE).

Structure (POSCAR):
```
HfGe2Cl
1.0
-1.8728 1.8728 11.0542
1.8728 -1.8728 11.0542
1.8728 1.8728 -11.0542
Hf Ge Cl
2 4 2
Direct
0.0000 0.0000 0.0000
0.7500 0.2500 0.5000
0.1115 0.6250 0.9865
0.3750 0.3615 0.4865
0.6385 0.1250 0.0135
0.8750 0.8885 0.5135
0.2500 0.7500 0.5000
0.5000 0.5000 0.0000
```

Raw total energy, eV per atom: -5.234
Distance to the lowest polymorph of the same formula, eV/atom: 0.000
ΔE_f (raw), eV/atom: 0.02


Record 2
Entry from Alexandria via LeMat-Bulk: Sm2YHo3 after structural relaxation (PBE).

Structure (POSCAR):
```
Sm2YHo3
1.0
11.6012 -1.7503 0.0000
11.6012 1.7503 0.0000
-3.2233 0.0000 9.6976
Sm Y Ho
4 2 6
Direct
0.0686 0.0686 0.1368
0.3085 0.3085 0.6287
0.6915 0.6915 0.3713
0.9314 0.9314 0.8632
0.3121 0.3121 0.9628
0.6879 0.6879 0.0372
0.0695 0.0695 0.7646
0.3053 0.3053 0.2851
0.4411 0.4411 0.5560
0.5589 0.5589 0.4440
0.6947 0.6947 0.7149
0.9305 0.9305 0.2354
```

DFT formation energy, eV per atom: 0.122
Raw total energy, eV per atom: -4.817
Distance to the lowest polymorph of the same formula, eV/atom: 0.000


Record 3
Entry from Alexandria via LeMat-Bulk: CaErIrPd after structural relaxation (PBE).

Structure (POSCAR):
```
CaErIrPd
1.0
0.0000 3.4387 3.4387
3.4387 0.0000 3.4387
3.4387 3.4387 0.0000
Ca Er Ir Pd
1 1 1 1
Direct
0.0000 0.0000 0.0000
0.5000 0.5000 0.5000
0.7500 0.7500 0.7500
0.2500 0.2500 0.2500
```

DFT formation energy, eV per atom: -0.706
Raw total energy, eV per atom: -5.861
Distance to the lowest polymorph of the same formula, eV/atom: 0.010